# 1
This record from the Alexandria database describes an optimized crystal structure of ThTeI. The functional is PBE-GGA.

Computed properties:
The value obtained for the relative energy among the computed polymorphs is 0.000 eV/f.u. The value obtained for the formation energy without anion corrections is -1148.9 meV/atom.

Unit cell a=4.2758 b=6.1923 c=9.7259 alpha=90.00 beta=90.00 gamma=90.00
Closest atoms and distances in Å follow each position.
Space group Pmmn (No. 59, origin choice 2)
Asymmetric unit:
Th (0.2500, 0.2500, 0.1065) [2 per cell]  4 Te 3.11-3.20, 2 I 3.18
Te (0.2500, 0.7500, 0.1377) [2 per cell]  4 Th 3.11-3.20
I (0.2500, 0.7500, 0.6518) [2 per cell]  2 Th 3.18

# 2
This record from the Alexandria database describes an optimized crystal structure of SiNi2Pb. The functional is PBE-GGA.

Computed properties:
The value obtained for the relative energy among the computed polymorphs is 1.062 eV/f.u. The value obtained for the formation energy without anion corrections is 135.5 meV/atom.

Unit cell a=3.7518 b=5.2059 c=6.6449 alpha=90.00 beta=90.00 gamma=90.00
Closest atoms and distances in Å follow each position.
Space group Immm (No. 71)
Asymmetric unit:
Si (0.0000, 0.0000, 0.0000) [2 per cell]  4 Ni 2.28
Ni (0.0000, 0.5000, 0.3052) [4 per cell]  2 Si 2.28
Pb (0.0000, 0.0000, 0.5000) [2 per cell]  8 Ni 2.76-2.91

# 3
This record from the Alexandria database describes an optimized crystal structure of AsPbSBr2. The functional is PBE-GGA.

Computed properties:
The value obtained for the relative energy among the computed polymorphs is 1.883 eV/f.u. The value obtained for the formation energy without anion corrections is 633.5 meV/atom.

Unit cell a=5.6206 b=5.6206 c=5.8902 alpha=90.00 beta=90.00 gamma=90.00
Closest atoms and distances in Å follow each position.
Space group P4/mmm (No. 123)
Asymmetric unit:
As (0.0000, 0.0000, 0.0000) [1 per cell]  2 Pb 2.95
Pb (0.0000, 0.0000, 0.5000) [1 per cell]  4 Br 2.81, 2 As 2.95
S (0.5000, 0.5000, 0.0000) [1 per cell]  4 As 3.97, 8 Br 4.07
Br (0.0000, 0.5000, 0.5000) [2 per cell]  2 Pb 2.81

# 4
This record from the Alexandria database describes an optimized crystal structure of EuTm2Ta. The functional is PBE-GGA.

Computed properties:
The energy relative to the elements comes out at 0.335 eV per atom.

Unit cell a=3.3452 b=3.3452 c=33.9881 alpha=90.00 beta=90.00 gamma=120.00
Closest atoms and distances in Å follow each position.
Space group R-3m (No. 166, hexagonal axes)
Asymmetric unit:
Eu (0.0000, 0.0000, 0.0000) [3 per cell]  6 Eu 3.35, 6 Tm 3.74
Tm (0.0000, 0.0000, 0.2390) [6 per cell]  3 Ta 3.13, 6 Tm 3.35
Ta (0.0000, 0.0000, 0.5000) [3 per cell]  6 Tm 3.13, 6 Ta 3.35

no.,electronic total energy (eV/atom)
1,-5.19
2,-5.04
3,-2.53
4,-7.43